! PBE BaTiHgSb2, relaxed; values from VASP
! ΔE_f (raw): -0.486 eV per atom
! Space-group type: P4/mmm (123)
&SYSTEM
  ibrav = 0, nat = 5, ntyp = 4
/
ATOMIC_SPECIES
Sb 121.76 Sb.upf
Ti 47.87 Ti.upf
Hg 200.59 Hg.upf
Ba 137.33 Ba.upf
CELL_PARAMETERS angstrom
5.361 0.000 0.000
0.000 5.361 0.000
0.000 0.000 5.423
ATOMIC_POSITIONS angstrom
Sb 0.000 2.681 0.000
Sb 2.681 0.000 0.000
Ti 0.000 0.000 0.000
Hg 0.000 0.000 2.711
Ba 2.681 2.681 2.711



! PBE Tm2Mg2Tc, relaxed; values from VASP
! Energy relative to the elements: -0.12 eV/atom
! Space-group type: I4/mmm (139)
&SYSTEM
  ibrav = 0, nat = 5, ntyp = 3
/
ATOMIC_SPECIES
Tm 168.93 Tm.upf
Mg 24.30 Mg.upf
Tc 98.00 Tc.upf
CELL_PARAMETERS angstrom
3.397 0.000 -0.545
-0.087 3.395 -0.545
-0.106 -0.109 10.195
ATOMIC_POSITIONS angstrom
Tm 1.905 1.955 1.016
Tm 1.298 1.332 8.089
Mg 2.578 2.645 5.208
Mg 0.625 0.642 3.897
Tc 0.000 0.000 0.000



! PBE Nd4Sm4Dy5, relaxed; values from VASP
! Energy relative to the elements: 0.02 eV/atom
! Space-group type: I4/m (87)
&SYSTEM
  ibrav = 0, nat = 13, ntyp = 3
/
ATOMIC_SPECIES
Nd 144.24 Nd.upf
Sm 150.36 Sm.upf
Dy 162.50 Dy.upf
CELL_PARAMETERS angstrom
-1.999 -1.244 -4.511
-1.007 -9.515 0.200
-9.483 0.349 1.235
ATOMIC_POSITIONS angstrom
Nd -8.899 -5.299 -3.206
Nd -5.920 -3.507 -2.150
Nd -3.589 -5.111 0.130
Nd -6.569 -6.904 -0.926
Sm -2.648 -4.567 -3.307
Sm -9.841 -5.844 0.232
Sm -6.245 -9.711 -3.165
Sm -6.244 -0.700 0.089
Dy -9.552 -8.666 -1.988
Dy -2.937 -1.744 -1.088
Dy 0.000 0.000 0.000
Dy -3.286 -7.961 -2.089
Dy -9.203 -2.450 -0.987



! PBE Pm4AgSe2S, relaxed; values from VASP
! ΔE_f (raw): -1.453 eV per atom
! Space-group type: P2/m (10)
&SYSTEM
  ibrav = 0, nat = 8, ntyp = 4
/
ATOMIC_SPECIES
Pm 145.00 Pm.upf
Ag 107.87 Ag.upf
Se 78.96 Se.upf
S 32.06 S.upf
CELL_PARAMETERS angstrom
-1.780 -2.861 -2.426
6.285 -3.648 -0.309
0.263 -4.808 5.476
ATOMIC_POSITIONS angstrom
Pm 4.921 -6.302 3.821
Pm -0.153 -5.015 -1.079
Pm 3.852 -5.413 0.004
Pm 0.917 -5.904 2.737
Ag 2.252 -3.255 -1.367
Se 0.263 -4.808 5.476
Se -0.758 -3.834 1.525
S 3.274 -4.228 2.584



! PBE LiIn2ReC, relaxed; values from VASP
! Energy relative to the elements: 0.72 eV/atom
! Space-group type: P4/mmm (123)
&SYSTEM
  ibrav = 0, nat = 5, ntyp = 4
/
ATOMIC_SPECIES
Re 186.21 Re.upf
C 12.01 C.upf
Li 6.94 Li.upf
In 114.82 In.upf
CELL_PARAMETERS angstrom
-4.133 1.892 1.563
-1.612 -0.544 -3.606
-1.498 -4.370 1.329
ATOMIC_POSITIONS angstrom
Re -0.806 -0.272 -1.803
C 0.000 0.000 0.000
Li -3.622 -1.511 -0.357
In -0.749 -2.185 0.665
In -2.067 0.946 0.781



! PBE SnIr2I, relaxed; values from VASP
! ΔE_f (raw): 0.778 eV per atom
! Space-group type: Fm-3m (225)
&SYSTEM
  ibrav = 0, nat = 4, ntyp = 3
/
ATOMIC_SPECIES
I 126.90 I.upf
Ir 192.22 Ir.upf
Sn 118.71 Sn.upf
CELL_PARAMETERS angstrom
0.000 3.362 3.362
3.362 0.000 3.362
3.362 3.362 0.000
ATOMIC_POSITIONS angstrom
I 3.362 3.362 3.362
Ir 1.681 1.681 1.681
Ir 5.043 5.043 5.043
Sn 0.000 0.000 0.000